1.
Density functional theory data (PBE-GGA) for a relaxed Tb3Co2Ge3 crystal.

Total DFT energy (no corrections) (eV/atom): -5.9573
Crystal system: orthorhombic

Cell: 5.647 5.647 14.054 Å, 90.00 90.00 136.57°
Fractional positions:
Co (0.207, 0.793, 0.097)
Co (0.207, 0.793, 0.403)
Co (0.793, 0.207, 0.597)
Co (0.793, 0.207, 0.903)
Ge (0.631, 0.369, 0.039)
Ge (0.338, 0.662, 0.250)
Ge (0.631, 0.369, 0.461)
Ge (0.369, 0.631, 0.539)
Ge (0.662, 0.338, 0.750)
Ge (0.369, 0.631, 0.961)
Tb (0.919, 0.081, 0.109)
Tb (0.641, 0.359, 0.250)
Tb (0.919, 0.081, 0.391)
Tb (0.081, 0.919, 0.609)
Tb (0.359, 0.641, 0.750)
Tb (0.081, 0.919, 0.891)

2.
Density functional theory data (PBE-GGA) for a relaxed TbCo2Ge2 crystal.

Total DFT energy (no corrections) (eV/atom): -6.2313
Crystal system: tetragonal

Cell: 3.967 3.967 5.784 Å, 110.06 110.06 90.00°
Fractional positions:
Co (0.750, 0.250, 0.500)
Co (0.250, 0.750, 0.500)
Ge (0.628, 0.628, 0.256)
Ge (0.372, 0.372, 0.744)
Tb (0.000, 0.000, 0.000)

3.
Density functional theory data (PBE-GGA) for a relaxed TbTmCoGe2 crystal.

Total DFT energy (no corrections) (eV/atom): -5.8386
Crystal system: monoclinic

Cell: 5.617 5.617 10.177 Å, 115.48 115.48 43.75°
Fractional positions:
Co (0.725, 0.725, 0.343)
Co (0.275, 0.275, 0.657)
Ge (0.486, 0.486, 0.121)
Ge (0.341, 0.341, 0.438)
Ge (0.659, 0.659, 0.562)
Ge (0.514, 0.514, 0.879)
Tb (0.005, 0.005, 0.332)
Tb (0.995, 0.995, 0.668)
Tm (0.188, 0.188, 0.116)
Tm (0.812, 0.812, 0.884)

Q: Which of these has the lowest total DFT energy (no corrections)?
A: TbCo2Ge2

Q: Among the records above, which one has the lowest total DFT energy (no corrections)?
A: TbCo2Ge2

Q: What is the total DFT energy (no corrections) in the second record?
A: -6.2313 eV/atom

Q: Among the records above, which one has the lowest total DFT energy (no corrections)?
A: TbCo2Ge2